Computed, not measured: crystalline Sm2HoCd6 at its relaxed geometry at the PBE level of DFT.

Computed properties:
Energy of formation from the pure elements = -325.6 meV/atom
Symmetry = P6/mmm (191)
Volume = 24.99 Å³/atom

```
9
Lattice="8.6990 0.0000 0.0000 -4.3495 7.5336 0.0000 0.0000 0.0000 3.4320" Properties=species:S:1:pos:R:3 pbc="T T T"
Sm 0.0000 5.0224 0.0000
Sm 4.3495 2.5112 0.0000
Ho 0.0000 0.0000 0.0000
Cd -1.4401 2.4944 1.7160
Cd -2.9094 5.0392 1.7160
Cd 2.8802 0.0000 1.7160
Cd 1.4401 2.4944 1.7160
Cd 5.8188 0.0000 1.7160
Cd 2.9094 5.0392 1.7160
```